The following is a GGA-PBE calculation of an optimized crystal structure of AcSmDy2Y5, from Alexandria. Values from VASP.

ΔE_f (eV/f.u.): 1.4
Space group: No. 36

Structure (Quantum ESPRESSO input):
```
&SYSTEM
  ibrav = 0, nat = 18, ntyp = 4
/
ATOMIC_SPECIES
Y 88.91 Y.upf
Ac 227.00 Ac.upf
Sm 150.36 Sm.upf
Dy 162.50 Dy.upf
CELL_PARAMETERS angstrom
5.588 0.000 0.000
-2.794 11.920 0.000
0.000 0.000 9.399
ATOMIC_POSITIONS angstrom
Y 2.794 5.779 8.128
Y 0.000 9.455 0.296
Y 2.794 4.543 2.147
Y 0.000 0.173 4.906
Y 0.000 11.334 7.035
Y 2.794 2.465 4.995
Y 0.000 6.141 3.429
Y 0.000 7.377 6.846
Y 2.794 0.586 2.336
Y 2.794 11.747 0.206
Ac 2.794 2.440 8.736
Ac 0.000 9.480 4.037
Sm 0.000 5.690 0.347
Sm 2.794 6.230 5.047
Dy 0.000 4.019 6.362
Dy 2.794 7.900 1.662
Dy 2.794 9.223 7.384
Dy 0.000 2.697 2.684
```



The following is a GGA-PBE calculation of an optimized crystal structure of MoRu, from Alexandria. Values from VASP.

ΔE_f (eV/f.u.): 3.4
Space group: No. 223

Structure (Quantum ESPRESSO input):
```
&SYSTEM
  ibrav = 0, nat = 12, ntyp = 2
/
ATOMIC_SPECIES
Mo 95.94 Mo.upf
Ru 101.07 Ru.upf
CELL_PARAMETERS angstrom
6.853 0.000 0.000
0.000 6.853 0.000
0.000 0.000 6.853
ATOMIC_POSITIONS angstrom
Mo 0.000 3.427 5.140
Mo 5.140 0.000 3.427
Mo 0.000 3.427 1.713
Mo 3.427 1.713 0.000
Mo 3.427 5.140 0.000
Mo 1.713 0.000 3.427
Ru 3.427 0.000 5.140
Ru 5.140 3.427 0.000
Ru 0.000 1.713 3.427
Ru 1.713 3.427 0.000
Ru 3.427 0.000 1.713
Ru 0.000 5.140 3.427
```



The following is a GGA-PBE calculation of an optimized crystal structure of AlZn2Ni, from Alexandria. Values from VASP.

ΔE_f (eV/f.u.): -0.5
Space group: No. 65

Structure (Quantum ESPRESSO input):
```
&SYSTEM
  ibrav = 0, nat = 4, ntyp = 3
/
ATOMIC_SPECIES
Zn 65.41 Zn.upf
Al 26.98 Al.upf
Ni 58.69 Ni.upf
CELL_PARAMETERS angstrom
-2.847 -3.270 1.403
2.864 1.187 3.339
-1.813 1.949 0.863
ATOMIC_POSITIONS angstrom
Zn 0.000 0.000 0.000
Zn 0.009 -1.041 2.371
Al -2.330 -0.660 1.133
Ni 0.526 1.568 2.101
```



The following is a GGA-PBE calculation of an optimized crystal structure of Pm6Sb5H, from Alexandria. Values from VASP.

Uncorrected energy (eV per atom): -5.345
Space group: No. 12

Structure (Quantum ESPRESSO input):
```
&SYSTEM
  ibrav = 0, nat = 12, ntyp = 3
/
ATOMIC_SPECIES
Pm 145.00 Pm.upf
H 1.01 H.upf
Sb 121.76 Sb.upf
CELL_PARAMETERS angstrom
-6.375 -0.724 4.235
-2.288 -7.320 -0.050
2.555 -4.853 5.340
ATOMIC_POSITIONS angstrom
Pm -1.982 -10.125 4.559
Pm -2.204 -2.021 1.070
Pm -4.045 -6.825 6.715
Pm -4.125 -2.771 4.965
Pm -6.459 -6.023 3.114
Pm -2.062 -6.071 2.809
H 0.000 0.000 0.000
Sb -1.881 -4.812 5.646
Sb 0.084 -4.056 1.755
Sb -4.331 -4.022 2.092
Sb 0.184 -8.117 3.535
Sb -4.226 -8.084 3.879
```



The following is a GGA-PBE calculation of an optimized crystal structure of CsYAgSe2, from Alexandria. Values from VASP.

Formation energy without anion corrections (eV per formula unit): -5.35
Space group: No. 13

Structure (Quantum ESPRESSO input):
```
&SYSTEM
  ibrav = 0, nat = 10, ntyp = 4
/
ATOMIC_SPECIES
Cs 132.91 Cs.upf
Se 78.96 Se.upf
Y 88.91 Y.upf
Ag 107.87 Ag.upf
CELL_PARAMETERS angstrom
-3.430 0.793 3.491
4.737 -3.887 5.538
3.187 7.454 1.438
ATOMIC_POSITIONS angstrom
Cs 0.016 0.649 6.334
Cs 4.479 3.712 4.133
Se 0.693 3.458 4.089
Se 4.739 4.782 7.764
Se 3.802 0.903 6.377
Se -0.244 -0.421 2.702
Y 0.665 5.989 2.834
Y -0.908 2.258 2.094
Ag 0.000 0.000 0.000
Ag 1.594 3.727 0.719
```



The following is a GGA-PBE calculation of an optimized crystal structure of Nb3TeO, from Alexandria. Values from VASP.

Formation energy without anion corrections (eV per formula unit): -2.80
Polymorph energy (0 for the lowest one) (eV/atom): 0.000
Space group: No. 221

Structure (Quantum ESPRESSO input):
```
&SYSTEM
  ibrav = 0, nat = 5, ntyp = 3
/
ATOMIC_SPECIES
Te 127.60 Te.upf
Nb 92.91 Nb.upf
O 16.00 O.upf
CELL_PARAMETERS angstrom
4.332 0.000 0.000
0.000 4.332 0.000
0.000 0.000 4.332
ATOMIC_POSITIONS angstrom
Te 2.166 2.166 2.166
Nb 0.000 0.000 2.166
Nb 0.000 2.166 0.000
Nb 2.166 0.000 0.000
O 0.000 0.000 0.000
```



The following is a GGA-PBE calculation of an optimized crystal structure of Mg2InCu, from Alexandria. Values from VASP.

ΔE_f (eV/f.u.): -0.1
Space group: No. 139

Structure (Quantum ESPRESSO input):
```
&SYSTEM
  ibrav = 0, nat = 4, ntyp = 3
/
ATOMIC_SPECIES
Mg 24.30 Mg.upf
In 114.82 In.upf
Cu 63.55 Cu.upf
CELL_PARAMETERS angstrom
-2.613 0.854 -4.293
-3.470 -3.725 -0.274
1.045 3.176 3.849
ATOMIC_POSITIONS angstrom
Mg -0.001 0.000 -0.001
Mg -3.041 -1.435 -2.283
In -2.733 -0.992 0.646
Cu -2.305 1.297 -1.364
```



The following is a GGA-PBE calculation of an optimized crystal structure of HgTeHI2, from Alexandria. Values from VASP.

Polymorph energy (0 for the lowest one) (eV/atom): 0.000
Space group: No. 123

Structure (Quantum ESPRESSO input):
```
&SYSTEM
  ibrav = 0, nat = 5, ntyp = 4
/
ATOMIC_SPECIES
I 126.90 I.upf
Hg 200.59 Hg.upf
Te 127.60 Te.upf
H 1.01 H.upf
CELL_PARAMETERS angstrom
5.923 0.000 0.000
0.000 5.923 0.000
0.000 0.000 3.888
ATOMIC_POSITIONS angstrom
I 0.000 2.962 0.000
I 2.962 0.000 0.000
Hg 2.962 2.962 1.944
Te 0.000 0.000 1.944
H 0.000 0.000 0.000
```



The following is a GGA-PBE calculation of an optimized crystal structure of Li2YGa, from Alexandria. Values from VASP.

ΔE_f (eV/f.u.): -1.1
Space group: No. 216

Structure (Quantum ESPRESSO input):
```
&SYSTEM
  ibrav = 0, nat = 4, ntyp = 3
/
ATOMIC_SPECIES
Ga 69.72 Ga.upf
Li 6.94 Li.upf
Y 88.91 Y.upf
CELL_PARAMETERS angstrom
-1.440 2.702 -3.736
-4.490 -0.451 -1.724
-3.217 3.540 0.672
ATOMIC_POSITIONS angstrom
Ga -4.276 2.708 -2.238
Li -1.987 1.258 -1.040
Li -8.846 5.601 -4.631
Y -6.561 4.155 -3.435
```



The following is a GGA-PBE calculation of an optimized crystal structure of Na2TcOsC, from Alexandria. Values from VASP.

ΔE_f (eV/f.u.): 7.5
Space group: No. 123

Structure (Quantum ESPRESSO input):
```
&SYSTEM
  ibrav = 0, nat = 5, ntyp = 4
/
ATOMIC_SPECIES
Os 190.23 Os.upf
Na 22.99 Na.upf
Tc 98.00 Tc.upf
C 12.01 C.upf
CELL_PARAMETERS angstrom
-4.223 1.301 0.803
0.046 -2.009 3.498
1.528 3.671 2.089
ATOMIC_POSITIONS angstrom
Os -1.325 1.482 3.195
Na 0.764 1.836 1.044
Na -2.112 0.650 0.402
Tc 0.023 -1.004 1.749
C 0.000 0.000 0.000
```



The following is a GGA-PBE calculation of an optimized crystal structure of CoAgTeBr2, from Alexandria. Values from VASP.

Formation energy without anion corrections (eV per formula unit): 3.73
Space group: No. 123

Structure (Quantum ESPRESSO input):
```
&SYSTEM
  ibrav = 0, nat = 5, ntyp = 4
/
ATOMIC_SPECIES
Br 79.90 Br.upf
Te 127.60 Te.upf
Co 58.93 Co.upf
Ag 107.87 Ag.upf
CELL_PARAMETERS angstrom
5.060 0.000 0.000
0.000 5.060 0.000
0.000 0.000 5.929
ATOMIC_POSITIONS angstrom
Br 2.530 0.000 0.000
Br 0.000 2.530 0.000
Te 0.000 0.000 2.964
Co 2.530 2.530 2.964
Ag 0.000 0.000 0.000
```



The following is a GGA-PBE calculation of an optimized crystal structure of Ac2Ga3PdAu12, from Alexandria. Values from VASP.

ΔE_f (eV/f.u.): -2.5
Space group: No. 166

Structure (Quantum ESPRESSO input):
```
&SYSTEM
  ibrav = 0, nat = 18, ntyp = 4
/
ATOMIC_SPECIES
Ac 227.00 Ac.upf
Ga 69.72 Ga.upf
Au 196.97 Au.upf
Pd 106.42 Pd.upf
CELL_PARAMETERS angstrom
-0.651 4.567 -6.917
-0.398 -4.260 -7.129
-7.426 -0.124 -3.736
ATOMIC_POSITIONS angstrom
Ac -5.227 0.113 -10.967
Ac -3.248 0.070 -6.814
Ga -0.326 2.283 -3.459
Ga -0.199 -2.130 -3.564
Ga -3.713 -0.062 -1.868
Au -1.292 -2.102 -5.852
Au -7.056 -2.120 -12.035
Au -4.800 -0.038 -4.159
Au -7.183 2.285 -11.929
Au -1.419 2.302 -5.747
Au -3.675 0.221 -13.622
Au -3.225 -2.139 -10.021
Au -5.119 -2.245 -7.870
Au -3.356 2.427 -9.912
Au -6.860 0.001 -8.266
Au -5.251 2.321 -7.761
Au -1.615 0.182 -9.515
Pd 0.000 0.000 0.000
```